DFT (PBE) results for crystalline Hf2AlI at its relaxed geometry.

Values from the calculation:
Fermi-level density of states ... 23.57 states/eV per cell
Calculated volume ... 21.5 A^3/atom
Uncorrected formation energy ... 0.92 eV/f.u.
VASP energy ... -6.07 eV/atom
Total magnetization ... 1.16 μB/f.u.
Energy above the most stable polymorph in this dataset ... 0.0000 eV/atom

Cell lengths 7.0107, 7.0107, 7.0107 Å; angles 90.00, 90.00, 90.00 degrees
Space group Fm-3m (No. 225)
Asymmetric unit:
Hf 0.2500 0.2500 0.2500 [8 per cell]
Al 0.0000 0.0000 0.0000 [4 per cell]
I 0.0000 0.0000 0.5000 [4 per cell]

***

DFT (PBE) results for crystalline LiHoZn2Au2 at its relaxed geometry.

Values from the calculation:
Fermi-level density of states ... 3.57 states/eV per cell
Calculated volume ... 18.6 A^3/atom
VASP energy ... -3.15 eV/atom
Total magnetization ... 0.00 μB/f.u.
E_form ... -0.5477 eV/atom

Cell lengths 4.5146, 4.5146, 6.3135 Å; angles 90.00, 90.00, 120.00 degrees
Space group P-3m1 (No. 164)
Asymmetric unit:
Li 0.0000 0.0000 0.0000 [1 per cell]
Ho 0.0000 0.0000 0.5000 [1 per cell]
Zn 0.3333 0.6667 0.1963 [2 per cell]
Au 0.3333 0.6667 0.7613 [2 per cell]

***

DFT (PBE) results for crystalline YEr2Th at its relaxed geometry.

Values from the calculation:
Fermi-level density of states ... 12.50 states/eV per cell
Calculated volume ... 31.6 A^3/atom
VASP energy ... -5.72 eV/atom
Total magnetization ... 0.00 μB/f.u.
E_form ... 0.0290 eV/atom
Energy above the most stable polymorph in this dataset ... 0.0266 eV/atom

Cell lengths 3.5376, 5.5192, 13.0516 Å; angles 90.01, 97.71, 90.00 degrees
Space group P-1 (No. 2)
Asymmetric unit:
Y 0.0833 0.2504 0.1674 [2 per cell]
Er 0.1595 0.7507 0.3152 [2 per cell]
Er 0.4598 0.2498 0.9218 [2 per cell]
Th 0.2844 0.7487 0.5710 [2 per cell]

***

DFT (PBE) results for crystalline SmCuGe2Pt at its relaxed geometry.

Values from the calculation:
Fermi-level density of states ... 5.42 states/eV per cell
Calculated volume ... 18.4 A^3/atom
VASP energy ... -5.52 eV/atom
Total magnetization ... 0.00 μB/f.u.
E_form ... -0.7061 eV/atom

Cell lengths 4.2033, 4.2033, 10.4019 Å; angles 90.00, 90.00, 90.00 degrees
Space group I-4m2 (No. 119)
Asymmetric unit:
Sm 0.0000 0.0000 0.0000 [2 per cell]
Cu 0.0000 0.5000 0.2500 [2 per cell]
Ge 0.0000 0.0000 0.3805 [4 per cell]
Pt 0.0000 0.5000 0.7500 [2 per cell]

***

DFT (PBE) results for crystalline PmPrCuHg at its relaxed geometry.

Values from the calculation:
Fermi-level density of states ... 14.66 states/eV per cell
Calculated volume ... 26.1 A^3/atom
VASP energy ... -3.76 eV/atom
Total magnetization ... 0.00 μB/f.u.
E_form ... -0.2762 eV/atom
Energy above the most stable polymorph in this dataset ... 0.0232 eV/atom

Cell lengths 7.4706, 7.4706, 7.4706 Å; angles 90.00, 90.00, 90.00 degrees
Space group F-43m (No. 216)
Asymmetric unit:
Pm 0.0000 0.0000 0.0000 [4 per cell]
Pr 0.0000 0.0000 0.5000 [4 per cell]
Cu 0.2500 0.2500 0.2500 [4 per cell]
Hg 0.2500 0.2500 0.7500 [4 per cell]

***

DFT (PBE) results for crystalline TaTiSn2Os at its relaxed geometry.

Values from the calculation:
Fermi-level density of states ... 6.84 states/eV per cell
Calculated volume ... 23.8 A^3/atom
VASP energy ... -6.74 eV/atom
Total magnetization ... 1.33 μB/f.u.
E_form ... 1.0608 eV/atom

Cell lengths 5.0504, 5.0504, 4.6718 Å; angles 90.00, 90.00, 90.00 degrees
Space group P4/mmm (No. 123)
Asymmetric unit:
Ta 0.0000 0.0000 0.0000 [1 per cell]
Ti 0.5000 0.5000 0.0000 [1 per cell]
Sn 0.0000 0.5000 0.5000 [2 per cell]
Os 0.5000 0.5000 0.5000 [1 per cell]

***

DFT (PBE) results for crystalline InCuAg6 at its relaxed geometry.

Values from the calculation:
Fermi-level density of states ... 54.07 states/eV per cell
Calculated volume ... 70.9 A^3/atom
VASP energy ... -2.01 eV/atom
Total magnetization ... 1.08 μB/f.u.
E_form ... 0.9859 eV/atom
Energy above the most stable polymorph in this dataset ... 0.7204 eV/atom

Cell lengths 5.5204, 5.5204, 64.5110 Å; angles 90.00, 90.00, 120.00 degrees
Space group R-3m (No. 166, hexagonal axes)
Asymmetric unit:
In 0.0000 0.0000 0.0000 [3 per cell]
Cu 0.0000 0.0000 0.5000 [3 per cell]
Ag 0.0036 0.5018 0.3698 [18 per cell]

***

DFT (PBE) results for crystalline LaGaN2 at its relaxed geometry.

Values from the calculation:
Fermi-level density of states ... 0.00 states/eV per cell
Calculated volume ... 14.8 A^3/atom
Uncorrected formation energy ... -3.13 eV/f.u.
VASP energy ... -6.93 eV/atom
Total magnetization ... 0.00 μB/f.u.

Cell lengths 5.7164, 5.7164, 7.2383 Å; angles 90.00, 90.00, 90.00 degrees
Space group I-42d (No. 122)
Asymmetric unit:
La 0.0000 0.0000 0.0000 [4 per cell]
Ga 0.0000 0.0000 0.5000 [4 per cell]
N 0.1848 0.7500 0.6250 [8 per cell]

***

DFT (PBE) results for crystalline Tb5Tl2Bi2 at its relaxed geometry.

Values from the calculation:
Fermi-level density of states ... 28.14 states/eV per cell
Calculated volume ... 30.1 A^3/atom
VASP energy ... -4.55 eV/atom
Total magnetization ... 0.00 μB/f.u.
E_form ... -0.5941 eV/atom

Cell lengths 15.8692, 8.2608, 8.2589 Å; angles 90.00, 90.00, 90.00 degrees
Space group Cmce (No. 64)
Asymmetric unit:
Tb 0.0000 0.0000 0.0000 [4 per cell]
Tb 0.1340 0.1685 0.3341 [16 per cell]
Tl 0.0000 0.1331 0.6322 [8 per cell]
Bi 0.2049 0.0000 0.0000 [8 per cell]

***

DFT (PBE) results for crystalline Na2BiPd2O6 at its relaxed geometry.

Values from the calculation:
Fermi-level density of states ... 8.19 states/eV per cell
Calculated volume ... 14.5 A^3/atom
Uncorrected formation energy ... -9.62 eV/f.u.
VASP energy ... -5.12 eV/atom
Total magnetization ... 1.06 μB/f.u.

Cell lengths 6.0733, 9.3890, 6.1504 Å; angles 90.00, 114.34, 90.00 degrees
Space group C2/m (No. 12)
Asymmetric unit:
Na 0.0000 0.1846 0.0000 [4 per cell]
Bi 0.0000 0.0000 0.5000 [2 per cell]
Pd 0.0000 0.3354 0.5000 [4 per cell]
O 0.1935 0.1791 0.7190 [8 per cell]
O 0.2365 0.5000 0.6835 [4 per cell]

***

DFT (PBE) results for crystalline NpFe2Ge at its relaxed geometry.

Values from the calculation:
Fermi-level density of states ... 19.51 states/eV per cell
Calculated volume ... 14.9 A^3/atom
VASP energy ... -8.65 eV/atom
Total magnetization ... 0.94 μB/f.u.
E_form ... -0.0283 eV/atom

Cell lengths 6.2004, 6.2004, 6.2004 Å; angles 90.00, 90.00, 90.00 degrees
Space group Fm-3m (No. 225)
Asymmetric unit:
Np 0.0000 0.0000 0.0000 [4 per cell]
Fe 0.2500 0.2500 0.2500 [8 per cell]
Ge 0.0000 0.0000 0.5000 [4 per cell]

***

DFT (PBE) results for crystalline K2GaSb at its relaxed geometry.

Values from the calculation:
Fermi-level density of states ... 8.81 states/eV per cell
Calculated volume ... 35.6 A^3/atom
Uncorrected formation energy ... -0.76 eV/f.u.
VASP energy ... -2.53 eV/atom
Total magnetization ... 0.00 μB/f.u.
Energy above the most stable polymorph in this dataset ... 0.0000 eV/atom

Cell lengths 10.6335, 8.7923, 6.0928 Å; angles 90.00, 90.00, 90.00 degrees
Space group Cmcm (No. 63)
Asymmetric unit:
K 0.1735 0.1536 0.2500 [8 per cell]
Ga 0.0000 0.5000 0.0000 [4 per cell]
Sb 0.0000 0.2088 0.7500 [4 per cell]